(1)
This record from OQMD describes LaDyZn6 after structural relaxation. The functional is GGA-PBE.

## Properties
DFT total energy = -0.089 Ha/atom
energy of formation from the pure elements = -0.273 eV per atom

abc: 4.7725 4.7725 6.7481
angles: 90.00 90.00 90.00
With the nearest neighbours (Å) after each atom.
Space group P4/mmm (No. 123)
One atom of each set of equivalent atoms:
La: 0.0000 0.0000 0.0000 [1 per cell]  8 Zn 2.98
Dy: 0.5000 0.5000 0.5000 [1 per cell]  8 Zn 2.87
Zn: 0.0000 0.0000 0.5000 [1 per cell]  8 Zn 2.87
Zn: 0.0000 0.5000 0.2636 [4 per cell]  2 Dy 2.87, 5 Zn 2.87-3.19, 2 La 2.98
Zn: 0.5000 0.5000 0.0000 [1 per cell]  8 Zn 2.98


(2)
This record from OQMD describes Y2AlCu after structural relaxation. The functional is GGA-PBE.

## Properties
DFT total energy = -0.182 Ha/atom

abc: 7.0481 7.0481 7.0481
angles: 90.00 90.00 90.00
With the nearest neighbours (Å) after each atom.
Space group F-43m (No. 216)
One atom of each set of equivalent atoms:
Y: 0.0000 0.0000 0.0000 [4 per cell]  4 Cu 3.05, 4 Y 3.05
Y: 0.2500 0.2500 0.2500 [4 per cell]  4 Al 3.05, 4 Y 3.05
Al: 0.0000 0.0000 0.5000 [4 per cell]  4 Cu 3.05, 4 Y 3.05
Cu: 0.2500 0.2500 0.7500 [4 per cell]  4 Al 3.05, 4 Y 3.05


(3)
This record from OQMD describes UBeCo after structural relaxation. The functional is GGA-PBE.

## Properties
offset from the most stable computed form = 2.06 eV per formula unit
DFT total energy = -0.230 Ha/atom

abc: 5.9818 5.9818 5.9818
angles: 90.00 90.00 90.00
With the nearest neighbours (Å) after each atom.
Space group F-43m (No. 216)
One atom of each set of equivalent atoms:
U: 0.0000 0.0000 0.0000 [4 per cell]  4 Be 2.59, 4 Co 2.59
Be: 0.2500 0.2500 0.7500 [4 per cell]  4 U 2.59
Co: 0.2500 0.2500 0.2500 [4 per cell]  4 U 2.59


(4)
This record from OQMD describes LiSmSb after structural relaxation. The functional is GGA-PBE.

## Properties
offset from the most stable computed form = 0.67 eV per formula unit
DFT total energy = -0.156 Ha/atom

abc: 7.0124 7.0124 7.0124
angles: 90.00 90.00 90.00
With the nearest neighbours (Å) after each atom.
Space group F-43m (No. 216)
One atom of each set of equivalent atoms:
Li: 0.0000 0.0000 0.0000 [4 per cell]  4 Sb 3.04
Sm: 0.0000 0.0000 0.5000 [4 per cell]  4 Sb 3.04
Sb: 0.2500 0.2500 0.2500 [4 per cell]  4 Li 3.04, 4 Sm 3.04